# In2SbW (PBE, optimized geometry)
# Total energy ... -4.8776 eV per atom
# SG ... Pmmm (47)
# Formation energy (no corrections) ... 0.761 eV/atom
data_In2SbW
_symmetry_space_group_name_H-M 'P 1'
_symmetry_Int_Tables_number 1
_cell_length_a 3.506
_cell_length_b 4.898
_cell_length_c 5.015
_cell_angle_alpha 90.00
_cell_angle_beta 90.00
_cell_angle_gamma 90.00
loop_
_symmetry_equiv_pos_as_xyz
'x,y,z'
loop_
_atom_site_label
_atom_site_fract_x
_atom_site_fract_y
_atom_site_fract_z
In1 0.000 0.000 0.000
In2 0.500 0.500 0.000
Sb1 0.000 0.500 0.500
W1 0.500 0.000 0.500

***

# PrPd5Au2 (PBE, optimized geometry)
# Total energy ... -4.9126 eV per atom
# Energy of formation from the pure elements ... -193 kJ/mol of formula units
# SG ... Immm (71)
# Polymorph energy (0 for the lowest one) ... 152 meV/atom
data_PrPd5Au2
_symmetry_space_group_name_H-M 'P 1'
_symmetry_Int_Tables_number 1
_cell_length_a 3.959
_cell_length_b 7.790
_cell_length_c 10.052
_cell_angle_alpha 90.00
_cell_angle_beta 90.00
_cell_angle_gamma 90.00
loop_
_symmetry_equiv_pos_as_xyz
'x,y,z'
loop_
_atom_site_label
_atom_site_fract_x
_atom_site_fract_y
_atom_site_fract_z
Pr1 0.000 0.000 0.000
Pr2 0.500 0.500 0.500
Pd1 0.000 0.182 0.362
Pd2 0.000 0.182 0.638
Pd3 0.000 0.500 0.000
Pd4 0.000 0.818 0.362
Pd5 0.000 0.818 0.638
Pd6 0.500 0.000 0.500
Pd7 0.500 0.318 0.138
Pd8 0.500 0.318 0.862
Pd9 0.500 0.682 0.138
Pd10 0.500 0.682 0.862
Au1 0.000 0.500 0.271
Au2 0.000 0.500 0.729
Au3 0.500 0.000 0.229
Au4 0.500 0.000 0.771

***

# Rb2ErTh2Te6 (PBE, optimized geometry)
# Total energy ... -4.9116 eV per atom
# SG ... C2/m (12)
# Formation energy (no corrections) ... -1.258 eV/atom
data_Rb2ErTh2Te6
_symmetry_space_group_name_H-M 'P 1'
_symmetry_Int_Tables_number 1
_cell_length_a 7.718
_cell_length_b 7.718
_cell_length_c 9.254
_cell_angle_alpha 98.15
_cell_angle_beta 98.15
_cell_angle_gamma 119.87
loop_
_symmetry_equiv_pos_as_xyz
'x,y,z'
loop_
_atom_site_label
_atom_site_fract_x
_atom_site_fract_y
_atom_site_fract_z
Rb1 0.169 0.831 0.000
Rb2 0.831 0.169 0.000
Er1 0.000 0.000 0.500
Th1 0.333 0.667 0.500
Th2 0.667 0.333 0.500
Te1 0.071 0.396 0.703
Te2 0.259 0.259 0.298
Te3 0.396 0.071 0.703
Te4 0.604 0.929 0.297
Te5 0.741 0.741 0.702
Te6 0.929 0.604 0.297

***

# Ga2ReRu (PBE, optimized geometry)
# Total energy ... -6.8772 eV per atom
# Energy of formation from the pure elements ... 26 kJ/mol of formula units
# SG ... Fm-3m (225)
# Polymorph energy (0 for the lowest one) ... 0 meV/atom
data_Ga2ReRu
_symmetry_space_group_name_H-M 'P 1'
_symmetry_Int_Tables_number 1
_cell_length_a 6.117
_cell_length_b 6.117
_cell_length_c 6.117
_cell_angle_alpha 90.00
_cell_angle_beta 90.00
_cell_angle_gamma 90.00
loop_
_symmetry_equiv_pos_as_xyz
'x,y,z'
loop_
_atom_site_label
_atom_site_fract_x
_atom_site_fract_y
_atom_site_fract_z
Ga1 0.250 0.250 0.250
Ga2 0.250 0.250 0.750
Ga3 0.250 0.750 0.250
Ga4 0.250 0.750 0.750
Ga5 0.750 0.250 0.250
Ga6 0.750 0.250 0.750
Ga7 0.750 0.750 0.250
Ga8 0.750 0.750 0.750
Re1 0.000 0.000 0.000
Re2 0.000 0.500 0.500
Re3 0.500 0.000 0.500
Re4 0.500 0.500 0.000
Ru1 0.000 0.000 0.500
Ru2 0.000 0.500 0.000
Ru3 0.500 0.000 0.000
Ru4 0.500 0.500 0.500

***

# TcHg (PBE, optimized geometry)
# Total energy ... -4.8732 eV per atom
# Energy of formation from the pure elements ... 89 kJ/mol of formula units
# SG ... P3m1 (156)
# Polymorph energy (0 for the lowest one) ... 217 meV/atom
data_TcHg
_symmetry_space_group_name_H-M 'P 1'
_symmetry_Int_Tables_number 1
_cell_length_a 2.920
_cell_length_b 2.920
_cell_length_c 14.543
_cell_angle_alpha 90.00
_cell_angle_beta 90.00
_cell_angle_gamma 120.00
loop_
_symmetry_equiv_pos_as_xyz
'x,y,z'
loop_
_atom_site_label
_atom_site_fract_x
_atom_site_fract_y
_atom_site_fract_z
Tc1 0.000 0.000 0.000
Tc2 0.000 0.000 0.334
Tc3 0.333 0.667 0.866
Hg1 0.000 0.000 0.695
Hg2 0.333 0.667 0.170
Hg3 0.333 0.667 0.500

***

# LiTl3Ga (PBE, optimized geometry)
# Total energy ... -2.2345 eV per atom
# Energy of formation from the pure elements ... 84 kJ/mol of formula units
# SG ... Pm-3m (221)
# Polymorph energy (0 for the lowest one) ... 0 meV/atom
data_LiTl3Ga
_symmetry_space_group_name_H-M 'P 1'
_symmetry_Int_Tables_number 1
_cell_length_a 5.172
_cell_length_b 5.172
_cell_length_c 5.172
_cell_angle_alpha 90.00
_cell_angle_beta 90.00
_cell_angle_gamma 90.00
loop_
_symmetry_equiv_pos_as_xyz
'x,y,z'
loop_
_atom_site_label
_atom_site_fract_x
_atom_site_fract_y
_atom_site_fract_z
Li1 0.000 0.000 0.000
Tl1 0.000 0.000 0.500
Tl2 0.000 0.500 0.000
Tl3 0.500 0.000 0.000
Ga1 0.500 0.500 0.500

***

# Sm2H2Au (PBE, optimized geometry)
# Total energy ... -4.5460 eV per atom
# SG ... C2/c (15)
data_Sm2H2Au
_symmetry_space_group_name_H-M 'P 1'
_symmetry_Int_Tables_number 1
_cell_length_a 5.979
_cell_length_b 5.979
_cell_length_c 6.577
_cell_angle_alpha 119.88
_cell_angle_beta 119.88
_cell_angle_gamma 73.76
loop_
_symmetry_equiv_pos_as_xyz
'x,y,z'
loop_
_atom_site_label
_atom_site_fract_x
_atom_site_fract_y
_atom_site_fract_z
Sm1 0.010 0.344 0.201
Sm2 0.344 0.010 0.701
Sm3 0.656 0.990 0.299
Sm4 0.990 0.656 0.799
H1 0.003 0.237 0.498
H2 0.237 0.003 0.998
H3 0.763 0.997 0.002
H4 0.997 0.763 0.502
Au1 0.456 0.544 0.250
Au2 0.544 0.456 0.750

***

# PrY4Tm5 (PBE, optimized geometry)
# Total energy ... -5.2729 eV per atom
# Energy of formation from the pure elements ... 26 kJ/mol of formula units
# SG ... P-1 (2)
# Polymorph energy (0 for the lowest one) ... 0 meV/atom
data_PrY4Tm5
_symmetry_space_group_name_H-M 'P 1'
_symmetry_Int_Tables_number 1
_cell_length_a 3.538
_cell_length_b 7.082
_cell_length_c 12.781
_cell_angle_alpha 97.87
_cell_angle_beta 97.95
_cell_angle_gamma 90.15
loop_
_symmetry_equiv_pos_as_xyz
'x,y,z'
loop_
_atom_site_label
_atom_site_fract_x
_atom_site_fract_y
_atom_site_fract_z
Pr1 0.000 0.000 0.000
Y1 0.398 0.201 0.796
Y2 0.398 0.696 0.796
Y3 0.602 0.304 0.204
Y4 0.602 0.799 0.204
Tm1 0.000 0.500 0.000
Tm2 0.202 0.101 0.403
Tm3 0.202 0.601 0.403
Tm4 0.798 0.399 0.597
Tm5 0.798 0.899 0.597